1.
The following is a PBE calculation of crystalline CsZnGePSeBr at its relaxed geometry, from Alexandria via LeMat-Bulk.

Results
The formation energy without anion corrections is -0.57 eV per atom. For the electronic total energy, the calculation gives -3.451 eV/atom.

Geometry as CIF:
```
data_CsZnGePSeBr
_chemical_formula_sum 'Cs2 Zn2 Ge2 P2 Se2 Br2'
_cell_length_a 17.792
_cell_length_b 3.927
_cell_length_c 5.285
_cell_angle_alpha 90.00
_cell_angle_beta 93.45
_cell_angle_gamma 90.00
_space_group_name_H-M_alt 'C 1 m 1'
_space_group_IT_number 8
_space_group_name_Hall 'C -2y'
loop_
_atom_site_label
_atom_site_fract_x
_atom_site_fract_y
_atom_site_fract_z
_atom_site_occupancy
Cs1 0.000 0.000 0.000 1
Zn1 0.283 0.000 0.283 1
Ge1 0.175 0.500 0.741 1
P1 0.167 0.000 0.480 1
Se1 0.293 0.500 0.002 1
Br1 0.416 0.000 0.487 1
```

2.
The following is a PBE calculation of crystalline Zn2HgOs at its relaxed geometry, from Alexandria via LeMat-Bulk.

Results
For the energy relative to the elements, the calculation gives 0.420 eV/atom. For the electronic total energy, the calculation gives -3.100 eV/atom.

Geometry as CIF:
```
data_Zn2HgOs
_chemical_formula_sum 'Zn4 Hg2 Os2'
_cell_length_a 3.799
_cell_length_b 3.799
_cell_length_c 8.830
_cell_angle_alpha 90.00
_cell_angle_beta 90.00
_cell_angle_gamma 90.00
_space_group_name_H-M_alt 'I -4 m 2'
_space_group_IT_number 119
_space_group_name_Hall 'I -4 -2'
loop_
_atom_site_label
_atom_site_fract_x
_atom_site_fract_y
_atom_site_fract_z
_atom_site_occupancy
Zn1 0.000 0.000 0.000 1
Zn2 0.000 0.500 0.250 1
Hg1 0.000 0.500 0.750 1
Os1 0.000 0.000 0.500 1
```

3.
The following is a PBE calculation of crystalline NpPaC at its relaxed geometry, from Alexandria via LeMat-Bulk.

Results
For the energy relative to the elements, the calculation gives 0.340 eV/atom. For the electronic total energy, the calculation gives -10.213 eV/atom.

Geometry as CIF:
```
data_NpPaC
_chemical_formula_sum 'Np2 Pa2 C2'
_cell_length_a 3.029
_cell_length_b 3.029
_cell_length_c 11.507
_cell_angle_alpha 90.00
_cell_angle_beta 90.00
_cell_angle_gamma 90.00
_space_group_name_H-M_alt 'I 4 m m'
_space_group_IT_number 107
_space_group_name_Hall 'I 4 -2'
loop_
_atom_site_label
_atom_site_fract_x
_atom_site_fract_y
_atom_site_fract_z
_atom_site_occupancy
Np1 0.000 0.000 0.000 1
Pa1 0.000 0.000 0.756 1
C1 0.000 0.000 0.378 1
```

4.
The following is a PBE calculation of crystalline Na8Ca at its relaxed geometry, from Alexandria via LeMat-Bulk.

Results
For the energy relative to the elements, the calculation gives 0.041 eV/atom. For the electronic total energy, the calculation gives -1.354 eV/atom.

Geometry as CIF:
```
data_Na8Ca
_chemical_formula_sum 'Na16 Ca2'
_cell_length_a 11.267
_cell_length_b 11.267
_cell_length_c 5.320
_cell_angle_alpha 90.00
_cell_angle_beta 90.00
_cell_angle_gamma 90.00
_space_group_name_H-M_alt 'I 4/m m m'
_space_group_IT_number 139
_space_group_name_Hall '-I 4 2'
loop_
_atom_site_label
_atom_site_fract_x
_atom_site_fract_y
_atom_site_fract_z
_atom_site_occupancy
Na1 0.000 0.336 0.000 1
Na2 0.170 0.170 0.500 1
Ca1 0.000 0.000 0.000 1
```

5.
The following is a PBE calculation of crystalline Hf2Ni2Hg at its relaxed geometry, from Alexandria via LeMat-Bulk.

Results
For the energy relative to the elements, the calculation gives -0.120 eV/atom. For the electronic total energy, the calculation gives -6.474 eV/atom.

Geometry as CIF:
```
data_Hf2Ni2Hg
_chemical_formula_sum 'Hf4 Ni4 Hg2'
_cell_length_a 4.473
_cell_length_b 4.473
_cell_length_c 9.366
_cell_angle_alpha 90.00
_cell_angle_beta 90.00
_cell_angle_gamma 90.00
_space_group_name_H-M_alt 'I 4/m m m'
_space_group_IT_number 139
_space_group_name_Hall '-I 4 2'
loop_
_atom_site_label
_atom_site_fract_x
_atom_site_fract_y
_atom_site_fract_z
_atom_site_occupancy
Hf1 0.000 0.500 0.250 1
Ni1 0.000 0.000 0.118 1
Hg1 0.000 0.000 0.500 1
```

6.
The following is a PBE calculation of crystalline ZnGa3Tc2 at its relaxed geometry, from Alexandria via LeMat-Bulk.

Results
For the energy relative to the elements, the calculation gives -0.138 eV/atom. For the electronic total energy, the calculation gives -5.319 eV/atom.

Geometry as CIF:
```
data_ZnGa3Tc2
_chemical_formula_sum 'Zn2 Ga6 Tc4'
_cell_length_a 9.020
_cell_length_b 5.405
_cell_length_c 4.420
_cell_angle_alpha 90.00
_cell_angle_beta 90.10
_cell_angle_gamma 90.00
_space_group_name_H-M_alt 'C 1 2/m 1'
_space_group_IT_number 12
_space_group_name_Hall '-C 2y'
loop_
_atom_site_label
_atom_site_fract_x
_atom_site_fract_y
_atom_site_fract_z
_atom_site_occupancy
Zn1 0.000 0.000 0.000 1
Ga1 0.000 0.500 0.000 1
Ga2 0.231 0.000 0.500 1
Tc1 0.250 0.250 0.000 1
```

7.
The following is a PBE calculation of crystalline AcHgSe2 at its relaxed geometry, from Alexandria via LeMat-Bulk.

Results
The formation energy without anion corrections is -1.08 eV per atom. For the electronic total energy, the calculation gives -3.922 eV/atom.

Geometry as CIF:
```
data_AcHgSe2
_chemical_formula_sum 'Ac3 Hg3 Se6'
_cell_length_a 4.5804
_cell_length_b 4.5804
_cell_length_c 21.6576
_cell_angle_alpha 90.00
_cell_angle_beta 90.00
_cell_angle_gamma 120.00
_space_group_name_H-M_alt 'R 3 m'
_space_group_IT_number 160
_space_group_name_Hall 'R 3 -2"'
loop_
_atom_site_label
_atom_site_fract_x
_atom_site_fract_y
_atom_site_fract_z
_atom_site_occupancy
Ac1 0.0000 0.0000 0.0000 1
Hg1 0.0000 0.0000 0.1691 1
Se1 0.0000 0.0000 0.4077 1
Se2 0.0000 0.0000 0.5894 1
```

8.
The following is a PBE calculation of crystalline HgPbCl6 at its relaxed geometry, from Alexandria via LeMat-Bulk.

Results
The formation energy without anion corrections is -0.55 eV per atom. For the electronic total energy, the calculation gives -2.439 eV/atom.

Geometry as CIF:
```
data_HgPbCl6
_chemical_formula_sum 'Hg1 Pb1 Cl6'
_cell_length_a 6.481
_cell_length_b 6.834
_cell_length_c 6.878
_cell_angle_alpha 94.37
_cell_angle_beta 111.43
_cell_angle_gamma 117.81
_space_group_name_H-M_alt 'P -1'
_space_group_IT_number 2
_space_group_name_Hall '-P 1'
loop_
_atom_site_label
_atom_site_fract_x
_atom_site_fract_y
_atom_site_fract_z
_atom_site_occupancy
Hg1 0.000 0.000 0.000 1
Pb1 0.000 0.500 0.500 1
Cl1 0.166 0.930 0.761 1
Cl2 0.185 0.729 0.272 1
Cl3 0.440 0.563 0.737 1
```

9.
The following is a PBE calculation of crystalline Ac4PdAu3 at its relaxed geometry, from Alexandria via LeMat-Bulk.

Results
For the energy relative to the elements, the calculation gives -0.817 eV/atom. For the electronic total energy, the calculation gives -4.749 eV/atom.

Geometry as CIF:
```
data_Ac4PdAu3
_chemical_formula_sum 'Ac4 Pd1 Au3'
_cell_length_a 4.204
_cell_length_b 4.895
_cell_length_c 11.797
_cell_angle_alpha 90.00
_cell_angle_beta 90.00
_cell_angle_gamma 90.00
_space_group_name_H-M_alt 'P m m 2'
_space_group_IT_number 25
_space_group_name_Hall 'P 2 -2'
loop_
_atom_site_label
_atom_site_fract_x
_atom_site_fract_y
_atom_site_fract_z
_atom_site_occupancy
Ac1 0.000 0.000 0.000 1
Ac2 0.000 0.500 0.264 1
Ac3 0.500 0.000 0.489 1
Ac4 0.500 0.500 0.766 1
Pd1 0.500 0.000 0.218 1
Au1 0.000 0.000 0.718 1
Au2 0.000 0.500 0.542 1
Au3 0.500 0.500 0.046 1
```

10.
The following is a PBE calculation of crystalline PrBiPd4 at its relaxed geometry, from Alexandria via LeMat-Bulk.

Results
For the energy relative to the elements, the calculation gives -0.212 eV/atom. For the electronic total energy, the calculation gives -5.117 eV/atom.

Geometry as CIF:
```
data_PrBiPd4
_chemical_formula_sum 'Pr2 Bi2 Pd8'
_cell_length_a 5.402
_cell_length_b 5.402
_cell_length_c 9.530
_cell_angle_alpha 90.00
_cell_angle_beta 90.00
_cell_angle_gamma 90.00
_space_group_name_H-M_alt 'P 42/n m c'
_space_group_IT_number 137
loop_
_space_group_symop_operation_xyz
'x,y,z'
'-x,-y,-z'
'-y+1/2,x,z+1/2'
'y+1/2,-x,-z+1/2'
'-x+1/2,-y+1/2,z'
'x+1/2,y+1/2,-z'
'y,-x+1/2,z+1/2'
'-y,x+1/2,-z+1/2'
'x+1/2,-y,-z'
'-x+1/2,y,z'
'-y,-x,-z+1/2'
'y,x,z+1/2'
'-x,y+1/2,-z'
'x,-y+1/2,z'
'y+1/2,x+1/2,-z+1/2'
'-y+1/2,-x+1/2,z+1/2'
loop_
_atom_site_label
_atom_site_fract_x
_atom_site_fract_y
_atom_site_fract_z
_atom_site_occupancy
Pr1 0.250 0.750 0.250 1
Bi1 0.250 0.750 0.750 1
Pd1 0.013 0.250 0.011 1
```

11.
The following is a PBE calculation of crystalline Cu3PdPt2 at its relaxed geometry, from Alexandria via LeMat-Bulk.

Results
For the energy relative to the elements, the calculation gives -0.127 eV/atom. For the electronic total energy, the calculation gives -5.054 eV/atom.

Geometry as CIF:
```
data_Cu3PdPt2
_chemical_formula_sum 'Cu3 Pd1 Pt2'
_cell_length_a 2.763
_cell_length_b 2.763
_cell_length_c 10.903
_cell_angle_alpha 90.00
_cell_angle_beta 90.00
_cell_angle_gamma 90.00
_space_group_name_H-M_alt 'P 4/m m m'
_space_group_IT_number 123
_space_group_name_Hall '-P 4 2'
loop_
_atom_site_label
_atom_site_fract_x
_atom_site_fract_y
_atom_site_fract_z
_atom_site_occupancy
Cu1 0.000 0.000 0.000 1
Cu2 0.000 0.000 0.334 1
Pd1 0.500 0.500 0.500 1
Pt1 0.500 0.500 0.167 1
```

12.
The following is a PBE calculation of crystalline Ti2SnBr2 at its relaxed geometry, from Alexandria via LeMat-Bulk.

Results
The formation energy without anion corrections is 0.57 eV per atom. For the electronic total energy, the calculation gives -4.056 eV/atom.

Geometry as CIF:
```
data_Ti2SnBr2
_chemical_formula_sum 'Ti2 Sn1 Br2'
_cell_length_a 5.479
_cell_length_b 5.479
_cell_length_c 5.510
_cell_angle_alpha 90.00
_cell_angle_beta 90.00
_cell_angle_gamma 90.00
_space_group_name_H-M_alt 'P 4/m m m'
_space_group_IT_number 123
_space_group_name_Hall '-P 4 2'
loop_
_atom_site_label
_atom_site_fract_x
_atom_site_fract_y
_atom_site_fract_z
_atom_site_occupancy
Ti1 0.000 0.500 0.000 1
Sn1 0.000 0.000 0.000 1
Br1 0.000 0.000 0.500 1
Br2 0.500 0.500 0.500 1
```